Record 1
A geometry-optimized RbNiBi2 structure. Source: Alexandria, functional PBE.

Lattice parameters (Å, degrees): 4.245 4.245 8.473 75.49 75.49 60.00
Fractional coordinates of all 4 atoms:
1 Bi 0.714 0.714 0.857
2 Ni 0.000 0.000 0.000
3 Rb 0.500 0.500 0.500
4 Bi 0.286 0.286 0.143

Output
Total magnetization, μB/cell: 0.00
E, eV per cell: -15.00
V, Å³/f.u.: 126.6
Crystal system: trigonal
E_form, meV/atom: -121

***

Record 2
A geometry-optimized PuMnBC structure. Source: Alexandria, functional PBE.

Lattice parameters (Å, degrees): 3.466 3.466 7.838 90.00 90.00 90.00
Last column: magnetic moment on the atom in μB.
Fractional coordinates of all 8 atoms:
1 B 0.000 0.500 0.328  -0.04
2 C 0.500 0.000 0.870  -0.17
3 B 0.500 0.000 0.672  -0.04
4 C 0.000 0.500 0.130  -0.17
5 Pu 0.500 0.000 0.170  4.18
6 Mn 0.000 0.000 0.500  0.43
7 Pu 0.000 0.500 0.830  4.18
8 Mn 0.500 0.500 0.500  0.43

Output
Total magnetization, μB/cell: 9.01
E, eV per cell: -80.44
V, Å³/f.u.: 47.1
Crystal system: tetragonal
E_form, meV/atom: -204

***

Record 3
A geometry-optimized Na2ScFeMo structure. Source: Alexandria, functional PBE.

Lattice parameters (Å, degrees): 5.356 4.329 5.356 90.00 90.00 90.00
Last column: magnetic moment on the atom in μB.
Fractional coordinates of all 5 atoms:
1 Fe 0.000 0.500 0.000  1.81
2 Na 0.500 0.000 0.000  -0.02
3 Na 0.000 0.000 0.500  -0.02
4 Mo 0.500 0.500 0.500  3.37
5 Sc 0.000 0.000 0.000  -0.59

Output
Total magnetization, μB/cell: 5.04
E, eV per cell: -19.77
V, Å³/f.u.: 124.2
Crystal system: tetragonal
E_form, meV/atom: 1699

***

Record 4
A geometry-optimized Ho3PtSeCl structure. Source: Alexandria, functional PBE.

Lattice parameters (Å, degrees): 3.978 8.215 9.823 93.92 90.00 90.00
Fractional coordinates of all 12 atoms:
1 Ho 0.750 0.823 0.115
2 Ho 0.250 0.648 0.816
3 Pt 0.250 0.573 0.109
4 Ho 0.250 0.642 0.395
5 Cl 0.250 0.138 0.592
6 Cl 0.750 0.862 0.408
7 Pt 0.750 0.427 0.891
8 Se 0.250 0.087 0.165
9 Ho 0.750 0.358 0.605
10 Se 0.750 0.913 0.835
11 Ho 0.250 0.177 0.885
12 Ho 0.750 0.352 0.184

Output
Total magnetization, μB/cell: 0.00
E, eV per cell: -67.04
V, Å³/f.u.: 160.1
Crystal system: monoclinic
E_form (uncorrected), eV per atom: -1.40

***

Record 5
A geometry-optimized SnBi2BS structure. Source: Alexandria, functional PBE.

Lattice parameters (Å, degrees): 5.834 4.955 5.834 90.00 90.00 90.00
Fractional coordinates of all 5 atoms:
1 B 0.500 0.500 0.500
2 Sn 0.000 0.000 0.000
3 Bi 0.500 0.000 0.000
4 S 0.000 0.500 0.000
5 Bi 0.000 0.000 0.500

Output
Total magnetization, μB/cell: 0.00
E, eV per cell: -15.10
V, Å³/f.u.: 168.7
Crystal system: tetragonal
E_form (uncorrected), eV per atom: 1.49

***

Record 6
A geometry-optimized MnBeSb structure. Source: Alexandria, functional PBE.

Lattice parameters (Å, degrees): 4.597 4.597 3.157 69.91 69.92 40.17
Fractional coordinates of all 3 atoms:
1 Be 0.018 0.018 0.982
2 Sb 0.330 0.330 0.670
3 Mn 0.652 0.652 0.348

Output
Total magnetization, μB/cell: 0.00
E, eV per cell: -16.46
V, Å³/f.u.: 40.1
Crystal system: tetragonal
E_form (uncorrected), eV per atom: 0.19

***

Record 7
A geometry-optimized NiB2Rh2 structure. Source: Alexandria, functional PBE.

Lattice parameters (Å, degrees): 2.836 2.836 7.012 78.33 78.33 90.00
Last column: magnetic moment on the atom in μB.
Fractional coordinates of all 5 atoms:
1 B 0.750 0.250 0.500  -0.01
2 Rh 0.368 0.368 0.264  0.08
3 Rh 0.632 0.632 0.736  0.08
4 Ni 0.000 0.000 0.000  0.46
5 B 0.250 0.750 0.500  -0.01

Output
Total magnetization, μB/cell: 0.60
E, eV per cell: -34.22
V, Å³/f.u.: 54.1
Crystal system: tetragonal
E_form, meV/atom: -76

***

Record 8
A geometry-optimized ErCuAu structure. Source: Alexandria, functional PBE.

Lattice parameters (Å, degrees): 4.041 4.263 6.964 90.00 89.99 90.00
Fractional coordinates of all 6 atoms:
1 Au 0.250 0.250 0.250
2 Er 0.250 0.250 0.823
3 Cu 0.250 0.750 0.496
4 Er 0.750 0.750 0.177
5 Cu 0.750 0.250 0.504
6 Au 0.750 0.750 0.750

Output
Total magnetization, μB/cell: 0.00
E, eV per cell: -27.16
V, Å³/f.u.: 60.0
Crystal system: orthorhombic
E_form, meV/atom: -548

***

Record 9
A geometry-optimized DyY5In4 structure. Source: Alexandria, functional PBE.

Lattice parameters (Å, degrees): 3.591 3.591 21.591 90.00 90.00 90.00
Fractional coordinates of all 10 atoms:
1 Y 0.500 0.500 0.885
2 Dy 0.000 0.000 0.000
3 Y 0.500 0.500 0.693
4 Y 0.500 0.500 0.115
5 Y 0.500 0.500 0.500
6 In 0.000 0.000 0.789
7 In 0.000 0.000 0.403
8 Y 0.500 0.500 0.307
9 In 0.000 0.000 0.211
10 In 0.000 0.000 0.597

Output
Total magnetization, μB/cell: 0.00
E, eV per cell: -51.88
V, Å³/f.u.: 278.5
Crystal system: tetragonal
E_form, meV/atom: -400

***

Record 10
A geometry-optimized SnPb2Br2O2 structure. Source: Alexandria, functional PBE.

Lattice parameters (Å, degrees): 3.951 6.993 7.633 69.62 75.00 73.59
Fractional coordinates of all 7 atoms:
1 O 0.804 0.326 0.067
2 O 0.196 0.674 0.933
3 Br 0.563 0.196 0.678
4 Pb 0.189 0.405 0.217
5 Br 0.437 0.804 0.322
6 Pb 0.811 0.595 0.783
7 Sn 0.000 0.000 0.000

Output
Total magnetization, μB/cell: 0.00
E, eV per cell: -31.76
V, Å³/f.u.: 186.6
Crystal system: monoclinic
E_form (uncorrected), eV per atom: -1.01

***

Record 11
A geometry-optimized KRb2ZrBr6 structure. Source: Alexandria, functional PBE.

Lattice parameters (Å, degrees): 8.250 8.250 8.251 60.00 60.00 90.00
Last column: magnetic moment on the atom in μB.
Fractional coordinates of all 10 atoms:
1 Br 0.768 0.768 0.464  0.00
2 Rb 0.750 0.250 0.500  0.00
3 Rb 0.250 0.750 0.500  0.00
4 Br 0.232 0.232 0.536  0.00
5 Br 0.768 0.768 0.000  0.00
6 Br 0.232 0.232 0.000  0.00
7 Br 0.232 0.768 0.000  0.00
8 Br 0.768 0.232 0.000  0.00
9 K 0.500 0.500 0.000  0.00
10 Zr 0.000 0.000 0.000  0.70

Output
Total magnetization, μB/cell: 1.00
E, eV per cell: -36.93
V, Å³/f.u.: 397.1
Crystal system: cubic
E_form (uncorrected), eV per atom: -1.53

***

Record 12
A geometry-optimized CdAgAu2 structure. Source: Alexandria, functional PBE.

Lattice parameters (Å, degrees): 4.731 4.731 4.731 60.00 60.00 60.00
Fractional coordinates of all 4 atoms:
1 Ag 0.500 0.500 0.500
2 Au 0.250 0.250 0.250
3 Cd 0.750 0.750 0.750
4 Au 0.000 0.000 0.000

Output
Total magnetization, μB/cell: 0.00
E, eV per cell: -10.71
V, Å³/f.u.: 74.9
Crystal system: cubic
E_form, meV/atom: -96

***

Record 13
A geometry-optimized PmCd5Ni structure. Source: Alexandria, functional PBE.

Lattice parameters (Å, degrees): 4.656 4.656 7.439 90.00 90.00 90.00
Fractional coordinates of all 7 atoms:
1 Cd 0.000 0.500 0.694
2 Cd 0.000 0.500 0.306
3 Cd 0.500 0.500 0.000
4 Pm 0.000 0.000 0.000
5 Ni 0.000 0.000 0.500
6 Cd 0.500 0.000 0.306
7 Cd 0.500 0.000 0.694

Output
Total magnetization, μB/cell: 0.00
E, eV per cell: -16.14
V, Å³/f.u.: 161.2
Crystal system: tetragonal
E_form, meV/atom: -148